First-principles (PBE-GGA) data for a geometry-optimized Al4Cu15Ge structure, as listed in Alexandria via LeMat-Bulk.

Calculated values
As for the energy of formation from the pure elements: -142 meV/atom. As for the space group: No. 123.

Cell: 3.6717 3.6717 18.6350 Å, 90.00 90.00 90.00°
Atoms (fractional coordinates):
Cu (0.5000, 0.5000, 0.1997)
Cu (0.5000, 0.5000, 0.6005)
Cu (0.0000, 0.5000, 0.1007)
Cu (0.5000, 0.0000, 0.6999)
Cu (0.0000, 0.5000, 0.5000)
Cu (0.5000, 0.5000, 0.8003)
Cu (0.5000, 0.5000, 0.3995)
Cu (0.0000, 0.5000, 0.3001)
Cu (0.5000, 0.0000, 0.5000)
Cu (0.5000, 0.0000, 0.1007)
Cu (0.5000, 0.0000, 0.8993)
Cu (0.5000, 0.5000, 0.0000)
Cu (0.0000, 0.5000, 0.6999)
Cu (0.0000, 0.5000, 0.8993)
Cu (0.5000, 0.0000, 0.3001)
Al (0.0000, 0.0000, 0.6003)
Al (0.0000, 0.0000, 0.7998)
Al (0.0000, 0.0000, 0.2002)
Al (0.0000, 0.0000, 0.3997)
Ge (0.0000, 0.0000, 0.0000)

First-principles (PBE-GGA) data for a geometry-optimized Al2Cu8Ge structure, as listed in Alexandria via LeMat-Bulk.

Calculated values
As for the energy of formation from the pure elements: 1 meV/atom. For the energy above the lowest structure with this stoichiometry, the calculation gives 111 meV per atom. As for the space group: No. 12.

Cell: 4.4253 6.7290 7.1917 Å, 62.11 73.12 51.62°
Atoms (fractional coordinates):
Al (0.0000, 0.3141, 0.3718)
Al (0.0000, 0.6859, 0.6282)
Cu (0.6968, 0.5594, 0.0000)
Cu (0.7820, 0.3786, 0.7222)
Cu (0.3032, 0.4406, 0.0000)
Cu (0.5000, 0.1932, 0.6135)
Cu (0.7820, 0.1008, 0.2778)
Cu (0.2180, 0.6214, 0.2778)
Cu (0.5000, 0.8068, 0.3865)
Cu (0.2180, 0.8992, 0.7222)
Ge (0.5000, 0.0000, 0.0000)

First-principles (PBE-GGA) data for a geometry-optimized AlCuGe2H structure, as listed in Alexandria via LeMat-Bulk.

Calculated values
As for the space group: No. 123. The total energy is -0.279 Ry per atom.

Cell: 4.9590 3.0919 4.9590 Å, 90.00 90.00 90.00°
Atoms (fractional coordinates):
H (0.0000, 0.5000, 0.0000)
Ge (0.0000, 0.0000, 0.5000)
Ge (0.5000, 0.0000, 0.0000)
Cu (0.0000, 0.0000, 0.0000)
Al (0.5000, 0.5000, 0.5000)

First-principles (PBE-GGA) data for a geometry-optimized Ho2AlCu4Ge3 structure, as listed in Alexandria via LeMat-Bulk.

Calculated values
As for the energy of formation from the pure elements: -492 meV/atom. As for the space group: No. 115.

Cell: 4.0350 4.0350 10.3615 Å, 90.00 90.00 90.00°
Atoms (fractional coordinates):
Ho (0.5000, 0.0000, 0.2393)
Ho (0.0000, 0.5000, 0.7607)
Ge (0.0000, 0.5000, 0.1340)
Ge (0.5000, 0.0000, 0.8660)
Ge (0.0000, 0.0000, 0.5000)
Cu (0.0000, 0.5000, 0.3616)
Cu (0.5000, 0.5000, 0.0000)
Cu (0.0000, 0.0000, 0.0000)
Cu (0.5000, 0.0000, 0.6384)
Al (0.5000, 0.5000, 0.5000)

Number 1: Fermi-level density of states 4.889 states/eV/f.u.. Number 2: Fermi-level density of states 2.897 states/eV/f.u.. Number 3: Fermi-level density of states 2.205 states/eV/f.u.. Number 4: Fermi-level density of states 4.056 states/eV/f.u..